DFT (PBE) results for a relaxed ZnHgAsH2 crystal.

Computed properties:
density: 7.50 g/cm³
energy: -11.50 eV/cell
SG: No. 123
D(E_F): 0.27 states/eV per atom
magnetization: 0.000 μB per atom

Unit cell a=3.796 b=3.796 c=5.268 alpha=90.00 beta=90.00 gamma=90.00
Element x y z (fractional)
1 Zn 0.000 0.000 0.000
2 Hg 0.500 0.500 0.000
3 As 0.000 0.000 0.500
4 H 0.000 0.500 0.500
5 H 0.500 0.000 0.500